This record from Alexandria describes Nd6YSc2 after structural relaxation. The functional is PBE.

Values from the calculation:
As for the total magnetization: 0.000 Bohr magnetons per cell. The energy of formation from the pure elements is 0.161 eV/atom.

The structure in CIF format:
```
data_Nd6YSc2
_cell_length_a 9.2335
_cell_length_b 17.5168
_cell_length_c 3.6142
_cell_angle_alpha 90.00
_cell_angle_beta 90.00
_cell_angle_gamma 90.00
_symmetry_space_group_name_H-M 'C m m m'
_symmetry_Int_Tables_number 65
_symmetry_space_group_name_Hall '-C 2 2'
loop_
_atom_site_label
_atom_site_fract_x
_atom_site_fract_y
_atom_site_fract_z
Nd1 0.1786 0.1665 0.0000
Nd2 0.1802 0.0000 0.5000
Y1 0.0000 0.5000 0.0000
Sc1 0.0000 0.3223 0.5000
```

This record from Alexandria describes CrN2 after structural relaxation. The functional is PBE.

Values from the calculation:
As for the total magnetization: 0.000 Bohr magnetons per cell.

The structure in CIF format:
```
data_CrN2
_cell_length_a 13.6875
_cell_length_b 5.5350
_cell_length_c 4.9443
_cell_angle_alpha 90.00
_cell_angle_beta 99.84
_cell_angle_gamma 90.00
_symmetry_space_group_name_H-M 'C 1 2/c 1'
_symmetry_Int_Tables_number 15
loop_
_symmetry_equiv_pos_as_xyz
'x,y,z'
'-x,-y,-z'
'-x,y,-z+1/2'
'x,-y,z+1/2'
'x+1/2,y+1/2,z'
'-x+1/2,-y+1/2,-z'
'-x+1/2,y+1/2,-z+1/2'
'x+1/2,-y+1/2,z+1/2'
loop_
_atom_site_label
_atom_site_fract_x
_atom_site_fract_y
_atom_site_fract_z
Cr1 0.0000 0.0753 0.2500
Cr2 0.1693 0.4165 0.7914
N1 0.0707 0.1363 0.9651
N2 0.0957 0.3609 0.4778
N3 0.2436 0.3707 0.2001
```

This record from Alexandria describes Mn2B2W after structural relaxation. The functional is PBE.

Values from the calculation:
As for the total magnetization: 1.233 Bohr magnetons per cell. The energy of formation from the pure elements is 0.334 eV/atom.

The structure in CIF format:
```
data_Mn2B2W
_cell_length_a 6.2262
_cell_length_b 6.2262
_cell_length_c 2.5863
_cell_angle_alpha 90.00
_cell_angle_beta 90.00
_cell_angle_gamma 90.00
_symmetry_space_group_name_H-M 'P 4/m b m'
_symmetry_Int_Tables_number 127
_symmetry_space_group_name_Hall '-P 4 2ab'
loop_
_atom_site_label
_atom_site_fract_x
_atom_site_fract_y
_atom_site_fract_z
Mn1 0.1281 0.3719 0.0000
B1 0.1665 0.6665 0.5000
W1 0.0000 0.0000 0.0000
```

This record from Alexandria describes ScMo4Ru after structural relaxation. The functional is PBE.

Values from the calculation:
As for the total magnetization: 0.002 Bohr magnetons per cell. The energy of formation from the pure elements is 0.194 eV/atom.

The structure in CIF format:
```
data_ScMo4Ru
_cell_length_a 7.4183
_cell_length_b 7.4183
_cell_length_c 7.4183
_cell_angle_alpha 90.00
_cell_angle_beta 90.00
_cell_angle_gamma 90.00
_symmetry_space_group_name_H-M 'F -4 3 m'
_symmetry_Int_Tables_number 216
_symmetry_space_group_name_Hall 'F -4 2 3'
loop_
_atom_site_label
_atom_site_fract_x
_atom_site_fract_y
_atom_site_fract_z
Sc1 0.0000 0.0000 0.0000
Mo1 0.1259 0.1259 0.6259
Ru1 0.2500 0.2500 0.2500
```

This record from Alexandria describes OsBrCl after structural relaxation. The functional is PBE.

Values from the calculation:
As for the total magnetization: 0.000 Bohr magnetons per cell.

The structure in CIF format:
```
data_OsBrCl
_cell_length_a 3.7522
_cell_length_b 3.7522
_cell_length_c 5.9235
_cell_angle_alpha 90.00
_cell_angle_beta 90.00
_cell_angle_gamma 120.00
_symmetry_space_group_name_H-M 'P 3 m 1'
_symmetry_Int_Tables_number 156
loop_
_symmetry_equiv_pos_as_xyz
'x,y,z'
'-y,x-y,z'
'-x+y,-x,z'
'-y,-x,z'
'-x+y,y,z'
'x,x-y,z'
loop_
_atom_site_label
_atom_site_fract_x
_atom_site_fract_y
_atom_site_fract_z
Os1 0.0000 0.0000 0.0000
Br1 0.3333 0.6667 0.2093
Cl1 0.6667 0.3333 0.7989
```

This record from Alexandria describes LiPu2Sb2H after structural relaxation. The functional is PBE.

Values from the calculation:
As for the total magnetization: 39.971 Bohr magnetons per cell.

The structure in CIF format:
```
data_LiPu2Sb2H
_cell_length_a 7.6397
_cell_length_b 12.0855
_cell_length_c 5.9862
_cell_angle_alpha 90.00
_cell_angle_beta 90.00
_cell_angle_gamma 90.00
_symmetry_space_group_name_H-M 'I b a m'
_symmetry_Int_Tables_number 72
_symmetry_space_group_name_Hall '-I 2 2c'
loop_
_atom_site_label
_atom_site_fract_x
_atom_site_fract_y
_atom_site_fract_z
Li1 0.0000 0.0000 0.2500
Pu1 0.1378 0.3859 0.0000
Sb1 0.2184 0.1338 0.0000
H1 0.0000 0.5000 0.2500
```

This record from Alexandria describes BaSr4Zn after structural relaxation. The functional is PBE.

Values from the calculation:
As for the total magnetization: 0.000 Bohr magnetons per cell. The energy of formation from the pure elements is -0.047 eV/atom.

The structure in CIF format:
```
data_BaSr4Zn
_cell_length_a 4.1020
_cell_length_b 4.1020
_cell_length_c 16.9018
_cell_angle_alpha 90.00
_cell_angle_beta 90.00
_cell_angle_gamma 90.00
_symmetry_space_group_name_H-M 'P 4/m m m'
_symmetry_Int_Tables_number 123
_symmetry_space_group_name_Hall '-P 4 2'
loop_
_atom_site_label
_atom_site_fract_x
_atom_site_fract_y
_atom_site_fract_z
Ba1 0.0000 0.0000 0.0000
Sr1 0.0000 0.0000 0.3901
Sr2 0.5000 0.5000 0.1997
Zn1 0.5000 0.5000 0.5000
```

This record from Alexandria describes TcP2RhS after structural relaxation. The functional is PBE.

Values from the calculation:
As for the total magnetization: 0.000 Bohr magnetons per cell.

The structure in CIF format:
```
data_TcP2RhS
_cell_length_a 4.5522
_cell_length_b 4.5522
_cell_length_c 4.5609
_cell_angle_alpha 90.00
_cell_angle_beta 90.00
_cell_angle_gamma 90.00
_symmetry_space_group_name_H-M 'P 4/m m m'
_symmetry_Int_Tables_number 123
_symmetry_space_group_name_Hall '-P 4 2'
loop_
_atom_site_label
_atom_site_fract_x
_atom_site_fract_y
_atom_site_fract_z
Tc1 0.0000 0.0000 0.0000
P1 0.0000 0.5000 0.0000
Rh1 0.5000 0.5000 0.5000
S1 0.0000 0.0000 0.5000
```

This record from Alexandria describes MgCd3Mo after structural relaxation. The functional is PBE.

Values from the calculation:
As for the total magnetization: 2.830 Bohr magnetons per cell. The energy of formation from the pure elements is 0.970 eV/atom.

The structure in CIF format:
```
data_MgCd3Mo
_cell_length_a 5.3723
_cell_length_b 5.3723
_cell_length_c 5.3723
_cell_angle_alpha 90.00
_cell_angle_beta 90.00
_cell_angle_gamma 90.00
_symmetry_space_group_name_H-M 'P m -3 m'
_symmetry_Int_Tables_number 221
_symmetry_space_group_name_Hall '-P 4 2 3'
loop_
_atom_site_label
_atom_site_fract_x
_atom_site_fract_y
_atom_site_fract_z
Mg1 0.0000 0.0000 0.0000
Cd1 0.0000 0.5000 0.5000
Mo1 0.5000 0.5000 0.5000
```

This record from Alexandria describes TbHoZr after structural relaxation. The functional is PBE.

Values from the calculation:
As for the total magnetization: 0.000 Bohr magnetons per cell. The energy of formation from the pure elements is 0.141 eV/atom.

The structure in CIF format:
```
data_TbHoZr
_cell_length_a 3.3243
_cell_length_b 19.7138
_cell_length_c 5.1095
_cell_angle_alpha 90.00
_cell_angle_beta 90.00
_cell_angle_gamma 90.00
_symmetry_space_group_name_H-M 'C m c m'
_symmetry_Int_Tables_number 63
_symmetry_space_group_name_Hall '-C 2c 2'
loop_
_atom_site_label
_atom_site_fract_x
_atom_site_fract_y
_atom_site_fract_z
Tb1 0.0000 0.2057 0.2500
Ho1 0.0000 0.0434 0.2500
Zr1 0.0000 0.3806 0.2500
```

This record from Alexandria describes TaCdIr after structural relaxation. The functional is PBE.

Values from the calculation:
As for the total magnetization: 0.003 Bohr magnetons per cell. The energy of formation from the pure elements is -0.097 eV/atom.

The structure in CIF format:
```
data_TaCdIr
_cell_length_a 3.0024
_cell_length_b 3.0024
_cell_length_c 11.9216
_cell_angle_alpha 90.00
_cell_angle_beta 90.00
_cell_angle_gamma 90.00
_symmetry_space_group_name_H-M 'I 4 m m'
_symmetry_Int_Tables_number 107
_symmetry_space_group_name_Hall 'I 4 -2'
loop_
_atom_site_label
_atom_site_fract_x
_atom_site_fract_y
_atom_site_fract_z
Ta1 0.0000 0.0000 0.0000
Cd1 0.0000 0.0000 0.6907
Ir1 0.0000 0.0000 0.3657
```

This record from Alexandria describes Th2Te2I after structural relaxation. The functional is PBE.

Values from the calculation:
As for the total magnetization: 0.002 Bohr magnetons per cell.

The structure in CIF format:
```
data_Th2Te2I
_cell_length_a 4.1063
_cell_length_b 6.1271
_cell_length_c 14.1101
_cell_angle_alpha 90.00
_cell_angle_beta 90.00
_cell_angle_gamma 90.00
_symmetry_space_group_name_H-M 'I m m m'
_symmetry_Int_Tables_number 71
_symmetry_space_group_name_Hall '-I 2 2'
loop_
_atom_site_label
_atom_site_fract_x
_atom_site_fract_y
_atom_site_fract_z
Th1 0.0000 0.0000 0.1834
Te1 0.0000 0.5000 0.1451
I1 0.0000 0.5000 0.5000
```

Raw total energy readings, ordered: -92.58; -306.89; -85.95; -231.07; -13.85; -181.05; -10.21; -28.68; -10.32; -69.34; -43.84; -55.51 eV per cell